Record 1
Ce3TmSe6: optimized geometry, PBE.

Calculated values
Formation energy without anion corrections (eV per formula unit): -17.785
Relative energy among the computed polymorphs (meV/atom): 0.0
Uncorrected energy (eV/atom): -6.097

Geometry as POSCAR:
```
Ce3TmSe6
1.0
7.0210 0.0000 0.0000
0.0000 7.7668 0.0000
-6.8176 0.0000 10.4966
Ce Tm Se
6 2 12
Direct
0.0000 0.0000 0.0000
0.0000 0.5000 0.5000
0.2961 0.1036 0.7530
0.2961 0.3964 0.2530
0.7039 0.6036 0.7470
0.7039 0.8964 0.2470
0.5000 0.0000 0.5000
0.5000 0.5000 0.0000
0.1016 0.0577 0.2568
0.1016 0.4423 0.7568
0.2537 0.6793 0.0772
0.2537 0.8207 0.5772
0.4084 0.1866 0.0750
0.4084 0.3134 0.5750
0.5916 0.6866 0.4250
0.5916 0.8134 0.9250
0.7463 0.1793 0.4228
0.7463 0.3207 0.9228
0.8984 0.5577 0.2432
0.8984 0.9423 0.7432
```

=====

Record 2
AgSbPb: optimized geometry, PBE.

Calculated values
Formation energy without anion corrections (eV per formula unit): 0.161
Relative energy among the computed polymorphs (meV/atom): 31.6
Uncorrected energy (eV/atom): -3.507

Geometry as POSCAR:
```
AgSbPb
1.0
4.5275 0.0000 0.0000
0.0143 4.5321 0.0000
1.9681 1.0593 7.8640
Ag Sb Pb
2 2 2
Direct
0.0000 0.0000 0.0000
0.5000 0.5000 0.0000
0.1212 0.5884 0.7483
0.8788 0.4116 0.2517
0.3480 0.8934 0.3240
0.6520 0.1066 0.6760
```

=====

Record 3
TiPb: optimized geometry, PBE.

Calculated values
Energy of formation from the pure elements (meV per atom): 178
Uncorrected energy (eV/atom): -5.624

Geometry as POSCAR:
```
TiPb
1.0
5.0708 0.0000 0.0000
0.0000 16.1198 0.0000
0.0000 0.0000 3.1742
Ti Pb
6 6
Direct
0.2500 0.0883 0.1359
0.2500 0.4117 0.1359
0.2500 0.7500 0.7846
0.7500 0.2500 0.2154
0.7500 0.5883 0.8641
0.7500 0.9117 0.8641
0.2500 0.2500 0.6997
0.2500 0.5854 0.3675
0.2500 0.9146 0.3675
0.7500 0.0854 0.6325
0.7500 0.4146 0.6325
0.7500 0.7500 0.3003
```

=====

Record 4
LiY2Re: optimized geometry, PBE.

Calculated values
Energy of formation from the pure elements (meV per atom): 382
Uncorrected energy (eV/atom): -6.441

Geometry as POSCAR:
```
LiY2Re
1.0
3.4843 0.0000 0.0000
0.0000 3.4843 0.0000
0.0000 0.0000 7.3542
Li Y Re
1 2 1
Direct
0.0000 0.0000 0.0000
0.0000 0.0000 0.3733
0.5000 0.5000 0.7707
0.5000 0.5000 0.1416
```

=====

uncorrected energy of number 4 (LiY2Re)?
-6.441 eV/atom

=====

Among the records above, which one has the highest uncorrected energy?
AgSbPb

=====

uncorrected energy of number 2 (AgSbPb)?
-3.507 eV/atom